# PBE-GGA SrSiTeAs2, relaxed
data_SrSiTeAs2
_space_group_name_H-M_alt 'P 4/m m m'
_space_group_IT_number 123
_space_group_name_Hall '-P 4 2'
_cell_length_a 5.6069
_cell_length_b 5.6069
_cell_length_c 5.6480
_cell_angle_alpha 90.00
_cell_angle_beta 90.00
_cell_angle_gamma 90.00
loop_
_atom_site_label
_atom_site_type_symbol
_atom_site_fract_x
_atom_site_fract_y
_atom_site_fract_z
_atom_site_occupancy
Sr1 Sr 0.0000 0.0000 0.0000 1
Si1 Si 0.0000 0.0000 0.5000 1
Te1 Te 0.5000 0.5000 0.5000 1
As1 As 0.0000 0.5000 0.0000 1
# ΔE to the lowest computed polymorph, meV per atom: 1385
# Total magnetic moment, Bohr magnetons per cell: 0.00
# Calculated total energy, eV per atom: -2.6788
# Calculated volume, Å³ per cell: 178
# ΔE_f (raw), eV per formula unit: 6.2

***

# PBE-GGA Ta2SiAs, relaxed
data_Ta2SiAs
_space_group_name_H-M_alt 'R -3 m'
_space_group_IT_number 166
_space_group_name_Hall '-R 3 2"'
_cell_length_a 3.0220
_cell_length_b 3.0220
_cell_length_c 25.2187
_cell_angle_alpha 90.00
_cell_angle_beta 90.00
_cell_angle_gamma 120.00
loop_
_atom_site_label
_atom_site_type_symbol
_atom_site_fract_x
_atom_site_fract_y
_atom_site_fract_z
_atom_site_occupancy
Ta1 Ta 0.0000 0.0000 0.2494 1
Si1 Si 0.0000 0.0000 0.0000 1
As1 As 0.0000 0.0000 0.5000 1
# ΔE to the lowest computed polymorph, meV per atom: 344
# Total magnetic moment, Bohr magnetons per cell: 0.00
# Calculated total energy, eV per atom: -8.4396
# Calculated volume, Å³ per cell: 199
# ΔE_f (raw), eV per formula unit: 0.0

***

# PBE-GGA TaSiAs2, relaxed
data_TaSiAs2
_space_group_name_H-M_alt 'I 4/m m m'
_space_group_IT_number 139
_space_group_name_Hall '-I 4 2'
_cell_length_a 3.9308
_cell_length_b 3.9308
_cell_length_c 8.9070
_cell_angle_alpha 90.00
_cell_angle_beta 90.00
_cell_angle_gamma 90.00
loop_
_atom_site_label
_atom_site_type_symbol
_atom_site_fract_x
_atom_site_fract_y
_atom_site_fract_z
_atom_site_occupancy
Ta1 Ta 0.0000 0.0000 0.0000 1
Si1 Si 0.0000 0.0000 0.5000 1
As1 As 0.0000 0.5000 0.2500 1
# Total magnetic moment, Bohr magnetons per cell: 0.00
# Calculated total energy, eV per atom: -6.3367
# Calculated volume, Å³ per cell: 138
# ΔE_f (raw), eV per formula unit: 1.2

***

# PBE-GGA TaSiAs2, relaxed
data_TaSiAs2
_space_group_name_H-M_alt 'P 4 m m'
_space_group_IT_number 99
_space_group_name_Hall 'P 4 -2'
_cell_length_a 3.3286
_cell_length_b 3.3286
_cell_length_c 6.5812
_cell_angle_alpha 90.00
_cell_angle_beta 90.00
_cell_angle_gamma 90.00
loop_
_atom_site_label
_atom_site_type_symbol
_atom_site_fract_x
_atom_site_fract_y
_atom_site_fract_z
_atom_site_occupancy
Ta1 Ta 0.0000 0.0000 0.0000 1
Si1 Si 0.5000 0.5000 0.7899 1
As1 As 0.0000 0.0000 0.5823 1
As2 As 0.5000 0.5000 0.1990 1
# Total magnetic moment, Bohr magnetons per cell: 0.00
# Calculated total energy, eV per atom: -6.6411
# Calculated volume, Å³ per cell: 73
# ΔE_f (raw), eV per formula unit: 0.0

***

# PBE-GGA Ta2SiAs, relaxed
data_Ta2SiAs
_space_group_name_H-M_alt 'C 1 m 1'
_space_group_IT_number 8
_space_group_name_Hall 'C -2y'
_cell_length_a 9.3255
_cell_length_b 3.2438
_cell_length_c 4.5225
_cell_angle_alpha 90.00
_cell_angle_beta 103.82
_cell_angle_gamma 90.00
loop_
_atom_site_label
_atom_site_type_symbol
_atom_site_fract_x
_atom_site_fract_y
_atom_site_fract_z
_atom_site_occupancy
Ta1 Ta 0.0000 0.0000 0.0000 1
Ta2 Ta 0.2187 0.0000 0.6097 1
Si1 Si 0.4891 0.0000 0.4978 1
As1 As 0.2330 0.5000 0.1187 1
# ΔE to the lowest computed polymorph, meV per atom: 88
# Total magnetic moment, Bohr magnetons per cell: 0.00
# Calculated total energy, eV per atom: -8.6955
# Calculated volume, Å³ per cell: 133
# ΔE_f (raw), eV per formula unit: -1.0

***

# PBE-GGA TaSi2As, relaxed
data_TaSi2As
_space_group_name_H-M_alt 'I 4/m m m'
_space_group_IT_number 139
_space_group_name_Hall '-I 4 2'
_cell_length_a 3.8044
_cell_length_b 3.8044
_cell_length_c 8.7475
_cell_angle_alpha 90.00
_cell_angle_beta 90.00
_cell_angle_gamma 90.00
loop_
_atom_site_label
_atom_site_type_symbol
_atom_site_fract_x
_atom_site_fract_y
_atom_site_fract_z
_atom_site_occupancy
Ta1 Ta 0.0000 0.0000 0.0000 1
Si1 Si 0.0000 0.5000 0.2500 1
As1 As 0.0000 0.0000 0.5000 1
# Total magnetic moment, Bohr magnetons per cell: 0.00
# Calculated total energy, eV per atom: -6.6030
# Calculated volume, Å³ per cell: 127
# ΔE_f (raw), eV per formula unit: 0.9

***

# PBE-GGA TaSiAs, relaxed
data_TaSiAs
_space_group_name_H-M_alt 'P -6 m 2'
_space_group_IT_number 187
_space_group_name_Hall 'P -6 2'
_cell_length_a 4.5923
_cell_length_b 4.5923
_cell_length_c 2.7614
_cell_angle_alpha 90.00
_cell_angle_beta 90.00
_cell_angle_gamma 120.00
loop_
_atom_site_label
_atom_site_type_symbol
_atom_site_fract_x
_atom_site_fract_y
_atom_site_fract_z
_atom_site_occupancy
Ta1 Ta 0.0000 0.0000 0.0000 1
Si1 Si 0.3333 0.6667 0.5000 1
As1 As 0.6667 0.3333 0.0000 1
# ΔE to the lowest computed polymorph, meV per atom: 595
# Total magnetic moment, Bohr magnetons per cell: 0.00
# Calculated total energy, eV per atom: -7.2309
# Calculated volume, Å³ per cell: 50
# ΔE_f (raw), eV per formula unit: 0.2

***

# PBE-GGA TaSiAs, relaxed
data_TaSiAs
_space_group_name_H-M_alt 'F -4 3 m'
_space_group_IT_number 216
_space_group_name_Hall 'F -4 2 3'
_cell_length_a 6.1973
_cell_length_b 6.1973
_cell_length_c 6.1973
_cell_angle_alpha 90.00
_cell_angle_beta 90.00
_cell_angle_gamma 90.00
loop_
_atom_site_label
_atom_site_type_symbol
_atom_site_fract_x
_atom_site_fract_y
_atom_site_fract_z
_atom_site_occupancy
Ta1 Ta 0.0000 0.0000 0.0000 1
Si1 Si 0.2500 0.2500 0.7500 1
As1 As 0.2500 0.2500 0.2500 1
# ΔE to the lowest computed polymorph, meV per atom: 880
# Total magnetic moment, Bohr magnetons per cell: 0.00
# Calculated total energy, eV per atom: -6.9458
# Calculated volume, Å³ per cell: 238
# ΔE_f (raw), eV per formula unit: 1.1

***

# PBE-GGA Ta2SiAs, relaxed
data_Ta2SiAs
_space_group_name_H-M_alt 'I m m m'
_space_group_IT_number 71
_space_group_name_Hall '-I 2 2'
_cell_length_a 3.7577
_cell_length_b 4.8199
_cell_length_c 7.3784
_cell_angle_alpha 90.00
_cell_angle_beta 90.00
_cell_angle_gamma 90.00
loop_
_atom_site_label
_atom_site_type_symbol
_atom_site_fract_x
_atom_site_fract_y
_atom_site_fract_z
_atom_site_occupancy
Ta1 Ta 0.0000 0.0000 0.2261 1
Si1 Si 0.0000 0.5000 0.5000 1
As1 As 0.0000 0.5000 0.0000 1
# ΔE to the lowest computed polymorph, meV per atom: 255
# Total magnetic moment, Bohr magnetons per cell: 0.00
# Calculated total energy, eV per atom: -8.5284
# Calculated volume, Å³ per cell: 134
# ΔE_f (raw), eV per formula unit: -0.3

***

# PBE-GGA TaSi2As, relaxed
data_TaSi2As
_space_group_name_H-M_alt 'P 4 m m'
_space_group_IT_number 99
_space_group_name_Hall 'P 4 -2'
_cell_length_a 2.9799
_cell_length_b 2.9799
_cell_length_c 7.6913
_cell_angle_alpha 90.00
_cell_angle_beta 90.00
_cell_angle_gamma 90.00
loop_
_atom_site_label
_atom_site_type_symbol
_atom_site_fract_x
_atom_site_fract_y
_atom_site_fract_z
_atom_site_occupancy
Ta1 Ta 0.0000 0.0000 0.0000 1
Si1 Si 0.0000 0.0000 0.5836 1
Si2 Si 0.5000 0.5000 0.7736 1
As1 As 0.5000 0.5000 0.2507 1
# Total magnetic moment, Bohr magnetons per cell: 0.00
# Calculated total energy, eV per atom: -6.6264
# Calculated volume, Å³ per cell: 68
# ΔE_f (raw), eV per formula unit: 0.8

***

# PBE-GGA TaSi4As, relaxed
data_TaSi4As
_space_group_name_H-M_alt 'F -4 3 m'
_space_group_IT_number 216
_space_group_name_Hall 'F -4 2 3'
_cell_length_a 7.1059
_cell_length_b 7.1059
_cell_length_c 7.1059
_cell_angle_alpha 90.00
_cell_angle_beta 90.00
_cell_angle_gamma 90.00
loop_
_atom_site_label
_atom_site_type_symbol
_atom_site_fract_x
_atom_site_fract_y
_atom_site_fract_z
_atom_site_occupancy
Ta1 Ta 0.0000 0.0000 0.0000 1
Si1 Si 0.1243 0.1243 0.6243 1
As1 As 0.2500 0.2500 0.2500 1
# Total magnetic moment, Bohr magnetons per cell: 0.00
# Calculated total energy, eV per atom: -6.0484
# Calculated volume, Å³ per cell: 359
# ΔE_f (raw), eV per formula unit: 1.9

***

# PBE-GGA Ta2SiAs, relaxed
data_Ta2SiAs
_space_group_name_H-M_alt 'C m m m'
_space_group_IT_number 65
_space_group_name_Hall '-C 2 2'
_cell_length_a 3.7110
_cell_length_b 4.8474
_cell_length_c 7.3793
_cell_angle_alpha 90.00
_cell_angle_beta 90.00
_cell_angle_gamma 90.00
loop_
_atom_site_label
_atom_site_type_symbol
_atom_site_fract_x
_atom_site_fract_y
_atom_site_fract_z
_atom_site_occupancy
Ta1 Ta 0.0000 0.0000 0.2411 1
Si1 Si 0.0000 0.5000 0.0000 1
As1 As 0.0000 0.5000 0.5000 1
# ΔE to the lowest computed polymorph, meV per atom: 249
# Total magnetic moment, Bohr magnetons per cell: 0.00
# Calculated total energy, eV per atom: -8.5351
# Calculated volume, Å³ per cell: 133
# ΔE_f (raw), eV per formula unit: -0.4

***

# PBE-GGA TaSiAs2, relaxed
data_TaSiAs2
_space_group_name_H-M_alt 'P 1 2/m 1'
_space_group_IT_number 10
_space_group_name_Hall '-P 2y'
_cell_length_a 3.0680
_cell_length_b 4.7051
_cell_length_c 5.1199
_cell_angle_alpha 90.00
_cell_angle_beta 104.64
_cell_angle_gamma 90.00
loop_
_atom_site_label
_atom_site_type_symbol
_atom_site_fract_x
_atom_site_fract_y
_atom_site_fract_z
_atom_site_occupancy
Ta1 Ta 0.0000 0.0000 0.0000 1
Si1 Si 0.5000 0.0000 0.5000 1
As1 As 0.0690 0.5000 0.7457 1
# Total magnetic moment, Bohr magnetons per cell: 0.00
# Calculated total energy, eV per atom: -6.3977
# Calculated volume, Å³ per cell: 72
# ΔE_f (raw), eV per formula unit: 1.0

***

# PBE-GGA TaSi2As, relaxed
data_TaSi2As
_space_group_name_H-M_alt 'I m m 2'
_space_group_IT_number 44
_space_group_name_Hall 'I 2 -2'
_cell_length_a 3.3713
_cell_length_b 4.6129
_cell_length_c 7.9983
_cell_angle_alpha 90.00
_cell_angle_beta 90.00
_cell_angle_gamma 90.00
loop_
_atom_site_label
_atom_site_type_symbol
_atom_site_fract_x
_atom_site_fract_y
_atom_site_fract_z
_atom_site_occupancy
Ta1 Ta 0.0000 0.0000 0.0000 1
Si1 Si 0.0000 0.0000 0.4829 1
Si2 Si 0.0000 0.5000 0.7713 1
As1 As 0.0000 0.5000 0.2200 1
# Total magnetic moment, Bohr magnetons per cell: 0.00
# Calculated total energy, eV per atom: -6.8104
# Calculated volume, Å³ per cell: 124
# ΔE_f (raw), eV per formula unit: 0.1

***

# PBE-GGA TaSi2As, relaxed
data_TaSi2As
_space_group_name_H-M_alt 'P 4 m m'
_space_group_IT_number 99
_space_group_name_Hall 'P 4 -2'
_cell_length_a 3.4850
_cell_length_b 3.4850
_cell_length_c 5.2613
_cell_angle_alpha 90.00
_cell_angle_beta 90.00
_cell_angle_gamma 90.00
loop_
_atom_site_label
_atom_site_type_symbol
_atom_site_fract_x
_atom_site_fract_y
_atom_site_fract_z
_atom_site_occupancy
Ta1 Ta 0.0000 0.0000 0.0000 1
Si1 Si 0.0000 0.0000 0.5171 1
Si2 Si 0.5000 0.5000 0.7503 1
As1 As 0.5000 0.5000 0.2586 1
# Total magnetic moment, Bohr magnetons per cell: 0.00
# Calculated total energy, eV per atom: -6.8129
# Calculated volume, Å³ per cell: 64
# ΔE_f (raw), eV per formula unit: 0.1